The following is a GGA-PBE calculation of crystalline KSnBi at its relaxed geometry, from Alexandria via LeMat-Bulk.

Properties
Magnetization ... 0.000 μB/atom
Calculated formation energy ... -0.213 eV per atom
D(E_F) ... 1.40 states/eV per cell
Final energy ... -3.207 eV/atom

```
KSnBi
1.0
5.909 0.000 0.000
0.000 4.436 0.000
-1.661 0.000 8.809
K Sn Bi
2 2 2
Direct
0.222 0.000 0.340
0.778 0.500 0.660
0.228 0.499 0.978
0.772 0.999 0.022
0.331 0.999 0.761
0.669 0.499 0.239
```

The following is a GGA-PBE calculation of crystalline Fe2CuOsBr at its relaxed geometry, from Alexandria via LeMat-Bulk.

Properties
Magnetization ... 1.677 μB/atom
D(E_F) ... 2.98 states/eV per cell
Final energy ... -4.971 eV/atom
Raw formation energy ... 1.81 eV per atom

```
Fe2CuOsBr
1.0
4.514 0.000 0.000
0.000 4.514 0.000
0.000 0.000 4.464
Fe Cu Os Br
2 1 1 1
Direct
0.000 0.500 0.000
0.500 0.000 0.000
0.000 0.000 0.000
0.500 0.500 0.500
0.000 0.000 0.500
```

The following is a GGA-PBE calculation of crystalline Sm2Y5TmTh at its relaxed geometry, from Alexandria via LeMat-Bulk.

Properties
Magnetization ... 0.000 μB/atom
Calculated formation energy ... 0.296 eV per atom
D(E_F) ... 21.57 states/eV per cell
Final energy ... -5.665 eV/atom

```
Sm2Y5TmTh
1.0
-4.375 4.375 7.664
4.375 -4.375 7.664
4.375 4.375 -7.664
Sm Y Tm Th
4 10 2 2
Direct
0.115 0.615 0.730
0.385 0.115 0.500
0.615 0.885 0.500
0.885 0.385 0.270
0.000 0.000 0.000
0.073 0.150 0.500
0.150 0.650 0.077
0.350 0.427 0.500
0.427 0.927 0.077
0.500 0.500 0.000
0.573 0.073 0.923
0.650 0.573 0.500
0.850 0.350 0.923
0.927 0.850 0.500
0.250 0.750 0.500
0.750 0.250 0.500
0.250 0.250 0.000
0.750 0.750 0.000
```